# 1
Entry from Alexandria via LeMat-Bulk: an optimized crystal structure of ErAlHg (PBE-GGA).

## Properties
As for the mass density: 9.77 g/cm³. As for the total energy: -3.1157 eV per atom. As for the space group: I4mm, No. 107. The value obtained for the energy relative to the lowest polymorph listed for this composition is 202.3 meV per atom.

Cell and atoms, written as POSCAR:
```
ErAlHg
1.0
3.4246 0.0000 0.0000
0.0000 3.4246 0.0000
-1.7123 -1.7123 5.7241
Hg Er Al
1 1 1
direct
0.9370 0.9370 0.8741
0.6201 0.6201 0.2402
0.2929 0.2929 0.5857
```



# 2
Entry from Alexandria via LeMat-Bulk: an optimized crystal structure of RePd (PBE-GGA).

## Properties
As for the mass density: 16.25 g/cm³. As for the total energy: -8.6747 eV per atom. As for the space group: Pmmn, No. 59. The value obtained for the energy relative to the lowest polymorph listed for this composition is 82.0 meV per atom.

Cell and atoms, written as POSCAR:
```
RePd
1.0
2.7634 0.0000 0.0000
0.0000 4.8511 0.0000
0.0000 0.0000 13.3824
Re Pd
6 6
direct
0.5000 0.0787 0.3348
0.5000 0.0787 0.6652
0.0000 0.2372 0.5000
0.0000 0.9213 0.1652
0.0000 0.9213 0.8348
0.5000 0.7628 0.0000
0.5000 0.7438 0.5000
0.0000 0.5802 0.6673
0.5000 0.4198 0.8327
0.0000 0.5802 0.3327
0.0000 0.2562 0.0000
0.5000 0.4198 0.1673
```



# 3
Entry from Alexandria via LeMat-Bulk: an optimized crystal structure of NdThAg (PBE-GGA).

## Properties
As for the mass density: 9.30 g/cm³. As for the total energy: -5.1208 eV per atom. As for the space group: Cmcm, No. 63. The value obtained for the energy relative to the lowest polymorph listed for this composition is 0.0 meV per atom.

Cell and atoms, written as POSCAR:
```
NdThAg
1.0
-0.3093 -2.9414 3.9806
0.6901 -2.9515 -2.1273
9.5800 -0.4044 0.4456
Nd Ag Th
2 2 2
direct
0.2500 0.0974 0.8052
0.7500 0.9026 0.1948
0.7500 0.5425 0.9150
0.2500 0.4575 0.0850
0.7500 0.7110 0.5781
0.2500 0.2890 0.4219
```



# 4
Entry from Alexandria via LeMat-Bulk: an optimized crystal structure of BaNa2CdF6 (PBE-GGA).

## Properties
As for the mass density: 4.01 g/cm³. The uncorrected formation energy is -2.8535 eV/atom. As for the total energy: -4.5239 eV per atom. As for the space group: P2_1/c, No. 14.

Cell and atoms, written as POSCAR:
```
BaNa2CdF6
1.0
6.1223 0.0000 0.0387
0.0000 6.3428 0.0000
0.1070 0.0000 8.7408
F Cd Na Ba
12 2 4 2
direct
0.1742 0.1390 0.4626
0.3604 0.8704 0.7285
0.6474 0.3017 0.6063
0.1396 0.3704 0.7715
0.3526 0.6983 0.3937
0.8604 0.6296 0.2285
0.1474 0.1983 0.1063
0.6742 0.3610 0.9626
0.6396 0.1296 0.2715
0.3258 0.6390 0.0374
0.8526 0.8017 0.8937
0.8258 0.8610 0.5374
0.0000 0.5000 0.0000
0.5000 0.0000 0.5000
0.0197 0.0272 0.7198
0.5197 0.4728 0.2198
0.4803 0.5272 0.7802
0.9803 0.9728 0.2802
0.5000 0.0000 0.0000
0.0000 0.5000 0.5000
```